[1]
Computed, not measured: crystalline TbHoTe2 at its relaxed geometry at the PBE level of DFT.

Values from the calculation:
* relative energy among the computed polymorphs: 29.0 meV per atom
* SG: R-3m, No. 166

a b c (Å): 4.362 4.362 7.510
angles (deg): 73.12 73.12 60.00
Positions (direct):
Ho: 0.000 0.000 0.000
Tb: 0.500 0.500 0.500
Te: 0.749 0.749 0.753
Te: 0.251 0.251 0.247



[2]
Computed, not measured: crystalline Tb2Ho3Te6 at its relaxed geometry at the PBE level of DFT.

Values from the calculation:
* SG: C2/m, No. 12

a b c (Å): 7.515 7.482 7.483
angles (deg): 80.29 70.39 59.85
Positions (direct):
Te: 0.903 0.678 0.255
Te: 0.581 0.322 0.255
Te: 0.261 0.000 0.252
Te: 0.419 0.678 0.745
Te: 0.097 0.322 0.745
Te: 0.739 0.000 0.748
Ho: 0.671 0.659 0.000
Ho: 0.329 0.341 0.000
Ho: 0.000 0.000 0.000
Tb: 0.164 0.672 0.500
Tb: 0.836 0.328 0.500



[3]
Computed, not measured: crystalline Tb2HoTe5 at its relaxed geometry at the PBE level of DFT.

Values from the calculation:
* SG: I4/mcm, No. 140

a b c (Å): 8.087 8.087 9.179
angles (deg): 116.14 116.14 90.00
Positions (direct):
Te: 0.490 0.310 0.300
Te: 0.510 0.690 0.700
Te: 0.690 0.190 0.700
Te: 0.310 0.810 0.300
Te: 0.010 0.510 0.700
Te: 0.190 0.010 0.700
Te: 0.810 0.990 0.300
Te: 0.000 0.000 0.000
Te: 0.500 0.500 0.000
Te: 0.990 0.490 0.300
Tb: 0.651 0.151 0.000
Tb: 0.151 0.349 0.000
Tb: 0.849 0.651 0.000
Tb: 0.349 0.849 0.000
Ho: 0.750 0.750 0.500
Ho: 0.250 0.250 0.500



no.,formation energy without anion corrections (eV/atom),Fermi-level density of states (states/eV/cell),final energy (hartree per atom)
1,-1.278,2.26,-0.189
2,-1.387,5.00,-0.191
3,-1.137,11.22,-0.178